# PBE Sr2VCd, optimized geometry
data_Sr2VCd
_chemical_formula_sum 'Sr8 V4 Cd4'
_cell_length_a 8.912
_cell_length_b 8.912
_cell_length_c 6.842
_cell_angle_alpha 90.00
_cell_angle_beta 90.00
_cell_angle_gamma 90.00
_space_group_name_H-M_alt 'I -4 2 d'
_space_group_IT_number 122
_space_group_name_Hall 'I -4 2bw'
loop_
_atom_site_label
_atom_site_fract_x
_atom_site_fract_y
_atom_site_fract_z
Sr1 0.249 0.250 0.125
V1 0.000 0.000 0.000
Cd1 0.000 0.000 0.500
# formation energy from the elements: 14.13 kcal/mol of atoms
# mass density: 4.14 Mg/m³
# uncorrected energy: -10.95 eV per formula unit
# calculated volume: 33.96 Å³ per atom


# PBE FePd2Rh, optimized geometry
data_FePd2Rh
_chemical_formula_sum 'Fe2 Pd4 Rh2'
_cell_length_a 4.427
_cell_length_b 5.464
_cell_length_c 4.798
_cell_angle_alpha 90.00
_cell_angle_beta 90.00
_cell_angle_gamma 90.00
_space_group_name_H-M_alt 'P m m n'
_space_group_IT_number 59
loop_
_space_group_symop_operation_xyz
'x,y,z'
'-x,-y,-z'
'-x+1/2,-y+1/2,z'
'x+1/2,y+1/2,-z'
'x+1/2,-y,-z'
'-x+1/2,y,z'
'-x,y+1/2,-z'
'x,-y+1/2,z'
loop_
_atom_site_label
_atom_site_fract_x
_atom_site_fract_y
_atom_site_fract_z
Fe1 0.250 0.250 0.159
Pd1 0.250 0.001 0.667
Rh1 0.250 0.750 0.160
# formation energy from the elements: -0.42 kcal/mol of atoms
# E above lowest polymorph: 0.012 eV per atom
# mass density: 10.63 Mg/m³
# uncorrected energy: -26.27 eV per formula unit
# calculated volume: 14.51 Å³ per atom


# PBE Pm2Zn4Pd3Au, optimized geometry
data_Pm2Zn4Pd3Au
_chemical_formula_sum 'Pm2 Zn4 Pd3 Au1'
_cell_length_a 4.291
_cell_length_b 4.291
_cell_length_c 10.584
_cell_angle_alpha 90.00
_cell_angle_beta 90.00
_cell_angle_gamma 90.00
_space_group_name_H-M_alt 'P -4 m 2'
_space_group_IT_number 115
loop_
_space_group_symop_operation_xyz
'x,y,z'
'y,-x,-z'
'-x,-y,z'
'-y,x,-z'
'-x,y,z'
'-y,-x,-z'
'x,-y,z'
'y,x,-z'
loop_
_atom_site_label
_atom_site_fract_x
_atom_site_fract_y
_atom_site_fract_z
Pm1 0.000 0.500 0.249
Zn1 0.000 0.000 0.500
Zn2 0.000 0.500 0.865
Zn3 0.500 0.500 0.500
Pd1 0.000 0.000 0.000
Pd2 0.000 0.500 0.631
Au1 0.500 0.500 0.000
# formation energy from the elements: -13.28 kcal/mol of atoms
# mass density: 9.10 Mg/m³
# uncorrected energy: -39.21 eV per formula unit
# calculated volume: 19.49 Å³ per atom


# PBE SrCrTc, optimized geometry
data_SrCrTc
_chemical_formula_sum 'Sr4 Cr4 Tc4'
_cell_length_a 6.574
_cell_length_b 6.574
_cell_length_c 6.574
_cell_angle_alpha 90.00
_cell_angle_beta 90.00
_cell_angle_gamma 90.00
_space_group_name_H-M_alt 'F -4 3 m'
_space_group_IT_number 216
_space_group_name_Hall 'F -4 2 3'
loop_
_atom_site_label
_atom_site_fract_x
_atom_site_fract_y
_atom_site_fract_z
Sr1 0.000 0.000 0.000
Cr1 0.000 0.000 0.500
Tc1 0.250 0.250 0.750
# formation energy from the elements: 27.25 kcal/mol of atoms
# E above lowest polymorph: 0.602 eV per atom
# mass density: 5.55 Mg/m³
# uncorrected energy: -18.13 eV per formula unit
# calculated volume: 23.68 Å³ per atom


# PBE Hf3Ni8Ge2, optimized geometry
data_Hf3Ni8Ge2
_chemical_formula_sum 'Hf9 Ni24 Ge6'
_cell_length_a 4.8242
_cell_length_b 4.8242
_cell_length_c 27.7415
_cell_angle_alpha 90.00
_cell_angle_beta 90.00
_cell_angle_gamma 120.00
_space_group_name_H-M_alt 'R -3 m'
_space_group_IT_number 166
_space_group_name_Hall '-R 3 2"'
loop_
_atom_site_label
_atom_site_fract_x
_atom_site_fract_y
_atom_site_fract_z
Hf1 0.0000 0.0000 0.0000
Hf2 0.0000 0.0000 0.1910
Ni1 0.0000 0.0000 0.2837
Ni2 0.0086 0.5043 0.7673
Ge1 0.0000 0.0000 0.3672
# formation energy from the elements: -6.78 kcal/mol of atoms
# mass density: 10.25 Mg/m³
# uncorrected energy: -89.17 eV per formula unit
# calculated volume: 14.34 Å³ per atom


# PBE ScAg2BPt, optimized geometry
data_ScAg2BPt
_chemical_formula_sum 'Sc1 Ag2 B1 Pt1'
_cell_length_a 5.134
_cell_length_b 5.134
_cell_length_c 3.943
_cell_angle_alpha 90.00
_cell_angle_beta 90.00
_cell_angle_gamma 90.00
_space_group_name_H-M_alt 'P 4/m m m'
_space_group_IT_number 123
_space_group_name_Hall '-P 4 2'
loop_
_atom_site_label
_atom_site_fract_x
_atom_site_fract_y
_atom_site_fract_z
Sc1 0.000 0.000 0.000
Ag1 0.000 0.500 0.500
B1 0.500 0.500 0.000
Pt1 0.500 0.500 0.500
# formation energy from the elements: 9.12 kcal/mol of atoms
# mass density: 7.46 Mg/m³
# uncorrected energy: -22.77 eV per formula unit
# calculated volume: 20.79 Å³ per atom


# PBE ZrTi6, optimized geometry
data_ZrTi6
_chemical_formula_sum 'Zr2 Ti12'
_cell_length_a 6.791
_cell_length_b 6.791
_cell_length_c 6.791
_cell_angle_alpha 90.00
_cell_angle_beta 90.00
_cell_angle_gamma 90.00
_space_group_name_H-M_alt 'I m -3 m'
_space_group_IT_number 229
_space_group_name_Hall '-I 4 2 3'
loop_
_atom_site_label
_atom_site_fract_x
_atom_site_fract_y
_atom_site_fract_z
Zr1 0.000 0.000 0.000
Ti1 0.000 0.250 0.500
# formation energy from the elements: 37.31 kcal/mol of atoms
# mass density: 4.01 Mg/m³
# uncorrected energy: -44.59 eV per formula unit
# calculated volume: 22.37 Å³ per atom


# PBE Ca2Ni3Ge, optimized geometry
data_Ca2Ni3Ge
_chemical_formula_sum 'Ca4 Ni6 Ge2'
_cell_length_a 5.2660
_cell_length_b 5.2660
_cell_length_c 8.1886
_cell_angle_alpha 90.00
_cell_angle_beta 90.00
_cell_angle_gamma 120.00
_space_group_name_H-M_alt 'P 63/m m c'
_space_group_IT_number 194
_space_group_name_Hall '-P 6c 2c'
loop_
_atom_site_label
_atom_site_fract_x
_atom_site_fract_y
_atom_site_fract_z
Ca1 0.3333 0.6667 0.0632
Ni1 0.1677 0.3353 0.7500
Ge1 0.0000 0.0000 0.0000
# formation energy from the elements: -7.77 kcal/mol of atoms
# mass density: 5.55 Mg/m³
# uncorrected energy: -27.99 eV per formula unit
# calculated volume: 16.39 Å³ per atom


# PBE Re3WSe, optimized geometry
data_Re3WSe
_chemical_formula_sum 'Re3 W1 Se1'
_cell_length_a 4.760
_cell_length_b 4.760
_cell_length_c 4.760
_cell_angle_alpha 90.00
_cell_angle_beta 90.00
_cell_angle_gamma 90.00
_space_group_name_H-M_alt 'P m -3 m'
_space_group_IT_number 221
_space_group_name_Hall '-P 4 2 3'
loop_
_atom_site_label
_atom_site_fract_x
_atom_site_fract_y
_atom_site_fract_z
Re1 0.000 0.000 0.500
W1 0.000 0.000 0.000
Se1 0.500 0.500 0.500
# raw formation energy: 12.35 eV/f.u.
# E above lowest polymorph: 0.585 eV per atom
# mass density: 12.65 Mg/m³
# uncorrected energy: -41.43 eV per formula unit
# calculated volume: 21.57 Å³ per atom


# PBE Mg2SnOs, optimized geometry
data_Mg2SnOs
_chemical_formula_sum 'Mg8 Sn4 Os4'
_cell_length_a 4.028
_cell_length_b 4.028
_cell_length_c 19.672
_cell_angle_alpha 90.00
_cell_angle_beta 90.00
_cell_angle_gamma 90.00
_space_group_name_H-M_alt 'I -4 2 d'
_space_group_IT_number 122
_space_group_name_Hall 'I -4 2bw'
loop_
_atom_site_label
_atom_site_fract_x
_atom_site_fract_y
_atom_site_fract_z
Mg1 0.227 0.250 0.125
Sn1 0.000 0.000 0.500
Os1 0.000 0.000 0.000
# formation energy from the elements: 11.56 kcal/mol of atoms
# mass density: 7.44 Mg/m³
# uncorrected energy: -16.42 eV per formula unit
# calculated volume: 19.95 Å³ per atom


# PBE CdOs2F, optimized geometry
data_CdOs2F
_chemical_formula_sum 'Cd4 Os8 F4'
_cell_length_a 3.492
_cell_length_b 3.492
_cell_length_c 22.404
_cell_angle_alpha 90.00
_cell_angle_beta 90.00
_cell_angle_gamma 90.00
_space_group_name_H-M_alt 'I -4 2 d'
_space_group_IT_number 122
_space_group_name_Hall 'I -4 2bw'
loop_
_atom_site_label
_atom_site_fract_x
_atom_site_fract_y
_atom_site_fract_z
Cd1 0.000 0.000 0.000
Os1 0.248 0.250 0.625
F1 0.000 0.000 0.500
# raw formation energy: 1.46 eV/f.u.
# E above lowest polymorph: 0.000 eV per atom
# mass density: 12.44 Mg/m³
# uncorrected energy: -23.78 eV per formula unit
# calculated volume: 17.08 Å³ per atom


# PBE DyIF2, optimized geometry
data_DyIF2
_chemical_formula_sum 'Dy3 I3 F6'
_cell_length_a 3.9741
_cell_length_b 3.9741
_cell_length_c 16.9541
_cell_angle_alpha 90.00
_cell_angle_beta 90.00
_cell_angle_gamma 120.00
_space_group_name_H-M_alt 'R -3 m'
_space_group_IT_number 166
_space_group_name_Hall '-R 3 2"'
loop_
_atom_site_label
_atom_site_fract_x
_atom_site_fract_y
_atom_site_fract_z
Dy1 0.0000 0.0000 0.0000
I1 0.0000 0.0000 0.5000
F1 0.0000 0.0000 0.3070
# raw formation energy: -12.05 eV/f.u.
# E above lowest polymorph: 0.100 eV per atom
# mass density: 7.03 Mg/m³
# uncorrected energy: -21.94 eV per formula unit
# calculated volume: 19.32 Å³ per atom